Version 1
A plane-wave DFT calculation with PBE-GGA was carried out for an optimized crystal structure of TcWSe2.

Geometry as CIF:
```
data_TcWSe2
_chemical_formula_sum 'Tc3 W3 Se6'
_space_group_name_H-M_alt 'R 3 m'
_space_group_IT_number 160
_space_group_name_Hall 'R 3 -2"'
_cell_length_a 3.0919
_cell_length_b 3.0919
_cell_length_c 29.5204
_cell_angle_alpha 90.00
_cell_angle_beta 90.00
_cell_angle_gamma 120.00
loop_
_atom_site_label
_atom_site_fract_x
_atom_site_fract_y
_atom_site_fract_z
_atom_site_occupancy
Tc1 0.0000 0.0000 0.0000 1
W1 0.0000 0.0000 0.2552 1
Se1 0.0000 0.0000 0.5282 1
Se2 0.0000 0.0000 0.7232 1
```

---

Version 2
A plane-wave DFT calculation with PBE-GGA was carried out for an optimized crystal structure of TcWSe2.

Geometry as CIF:
```
data_TcWSe2
_chemical_formula_sum 'Tc1 W1 Se2'
_space_group_name_H-M_alt 'P m m m'
_space_group_IT_number 47
_cell_length_a 3.0485
_cell_length_b 4.0660
_cell_length_c 5.5604
_cell_angle_alpha 90.00
_cell_angle_beta 90.00
_cell_angle_gamma 90.00
loop_
_space_group_symop_operation_xyz
'x,y,z'
'-x,-y,-z'
'-x,-y,z'
'x,y,-z'
'x,-y,-z'
'-x,y,z'
'-x,y,-z'
'x,-y,z'
loop_
_atom_site_label
_atom_site_fract_x
_atom_site_fract_y
_atom_site_fract_z
_atom_site_occupancy
Tc1 0.0000 0.0000 0.0000 1
W1 0.5000 0.0000 0.5000 1
Se1 0.0000 0.5000 0.5000 1
Se2 0.5000 0.5000 0.0000 1
```

---

The computed energies, referenced to the most stable structure and given in meV/atom, are version 1 0; version 2 850.

---

Version 1
A plane-wave DFT calculation with PBE-GGA was carried out for an optimized crystal structure of YTc3Se.

Geometry as CIF:
```
data_YTc3Se
_chemical_formula_sum 'Y1 Tc3 Se1'
_space_group_name_H-M_alt 'P m -3 m'
_space_group_IT_number 221
_space_group_name_Hall '-P 4 2 3'
_cell_length_a 4.6091
_cell_length_b 4.6091
_cell_length_c 4.6091
_cell_angle_alpha 90.00
_cell_angle_beta 90.00
_cell_angle_gamma 90.00
loop_
_atom_site_label
_atom_site_fract_x
_atom_site_fract_y
_atom_site_fract_z
_atom_site_occupancy
Y1 0.0000 0.0000 0.0000 1
Tc1 0.0000 0.5000 0.5000 1
Se1 0.5000 0.5000 0.5000 1
```

---

Version 2
A plane-wave DFT calculation with PBE-GGA was carried out for an optimized crystal structure of YTc3Se.

Geometry as CIF:
```
data_YTc3Se
_chemical_formula_sum 'Y1 Tc3 Se1'
_space_group_name_H-M_alt 'P m -3 m'
_space_group_IT_number 221
_space_group_name_Hall '-P 4 2 3'
_cell_length_a 4.9102
_cell_length_b 4.9102
_cell_length_c 4.9102
_cell_angle_alpha 90.00
_cell_angle_beta 90.00
_cell_angle_gamma 90.00
loop_
_atom_site_label
_atom_site_fract_x
_atom_site_fract_y
_atom_site_fract_z
_atom_site_occupancy
Y1 0.0000 0.0000 0.0000 1
Tc1 0.0000 0.0000 0.5000 1
Se1 0.5000 0.5000 0.5000 1
```

---

The computed energies, referenced to the most stable structure and given in meV/atom, are version 1 0; version 2 1956.

---

Version 1
A plane-wave DFT calculation with PBE-GGA was carried out for an optimized crystal structure of ZnTcSe.

Geometry as CIF:
```
data_ZnTcSe
_chemical_formula_sum 'Zn2 Tc2 Se2'
_space_group_name_H-M_alt 'I 4 m m'
_space_group_IT_number 107
_space_group_name_Hall 'I 4 -2'
_cell_length_a 3.0321
_cell_length_b 3.0321
_cell_length_c 11.8141
_cell_angle_alpha 90.00
_cell_angle_beta 90.00
_cell_angle_gamma 90.00
loop_
_atom_site_label
_atom_site_fract_x
_atom_site_fract_y
_atom_site_fract_z
_atom_site_occupancy
Zn1 0.0000 0.0000 0.0000 1
Tc1 0.0000 0.0000 0.6420 1
Se1 0.0000 0.0000 0.2568 1
```

---

Version 2
A plane-wave DFT calculation with PBE-GGA was carried out for an optimized crystal structure of ZnTcSe.

Geometry as CIF:
```
data_ZnTcSe
_chemical_formula_sum 'Zn4 Tc4 Se4'
_space_group_name_H-M_alt 'F m m 2'
_space_group_IT_number 42
_space_group_name_Hall 'F 2 -2'
_cell_length_a 3.0271
_cell_length_b 5.0596
_cell_length_c 13.6012
_cell_angle_alpha 90.00
_cell_angle_beta 90.00
_cell_angle_gamma 90.00
loop_
_atom_site_label
_atom_site_fract_x
_atom_site_fract_y
_atom_site_fract_z
_atom_site_occupancy
Zn1 0.0000 0.0000 0.0000 1
Tc1 0.0000 0.0000 0.6559 1
Se1 0.0000 0.0000 0.2992 1
```

---

The computed energies, referenced to the most stable structure and given in meV/atom, are version 1 0; version 2 362.